## 1
# Al2GaHg (PBE, relaxed)
data_Al2GaHg
_chemical_formula_sum 'Al2 Ga1 Hg1'
_space_group_name_H-M_alt 'P 1'
_space_group_IT_number 1
_space_group_name_Hall 'P 1'
_cell_length_a 2.961
_cell_length_b 2.961
_cell_length_c 10.650
_cell_angle_alpha 82.01
_cell_angle_beta 82.01
_cell_angle_gamma 60.00
loop_
_atom_site_label
_atom_site_type_symbol
_atom_site_fract_x
_atom_site_fract_y
_atom_site_fract_z
Al1 Al 0.091 0.091 0.728
Al2 Al 0.909 0.909 0.272
Ga1 Ga 0.500 0.500 0.500
Hg1 Hg 0.000 0.000 0.000
# Space-group type   R-3m (166)


## 2
# Al2GaHg (PBE, relaxed)
data_Al2GaHg
_chemical_formula_sum 'Al2 Ga1 Hg1'
_space_group_name_H-M_alt 'P 1'
_space_group_IT_number 1
_space_group_name_Hall 'P 1'
_cell_length_a 4.146
_cell_length_b 4.146
_cell_length_c 6.101
_cell_angle_alpha 70.14
_cell_angle_beta 70.14
_cell_angle_gamma 60.00
loop_
_atom_site_label
_atom_site_type_symbol
_atom_site_fract_x
_atom_site_fract_y
_atom_site_fract_z
Hg1 Hg 0.496 0.496 0.511
Al1 Al 0.264 0.264 0.207
Al2 Al 0.070 0.070 0.790
Ga1 Ga 0.669 0.669 0.992
# Space-group type   R3m (160)


## 3
# Al2GaHg (PBE, relaxed)
data_Al2GaHg
_chemical_formula_sum 'Al4 Ga2 Hg2'
_space_group_name_H-M_alt 'P 1'
_space_group_IT_number 1
_space_group_name_Hall 'P 1'
_cell_length_a 4.306
_cell_length_b 4.306
_cell_length_c 9.402
_cell_angle_alpha 76.76
_cell_angle_beta 76.76
_cell_angle_gamma 90.00
loop_
_atom_site_label
_atom_site_type_symbol
_atom_site_fract_x
_atom_site_fract_y
_atom_site_fract_z
Ga1 Ga 0.250 0.750 0.500
Ga2 Ga 0.500 0.500 0.000
Hg1 Hg 0.000 0.000 0.000
Hg2 Hg 0.750 0.250 0.500
Al1 Al 0.375 0.391 0.750
Al2 Al 0.875 0.859 0.750
Al3 Al 0.141 0.625 0.250
Al4 Al 0.609 0.125 0.250
# Space-group type   I-42d (122)


Most stable to least stable, the ends of the list are 1 and 3.


## 1
# Al2GaHg (PBE, relaxed)
data_Al2GaHg
_chemical_formula_sum 'Al2 Ga1 Hg1'
_space_group_name_H-M_alt 'P 1'
_space_group_IT_number 1
_space_group_name_Hall 'P 1'
_cell_length_a 3.158
_cell_length_b 3.158
_cell_length_c 7.685
_cell_angle_alpha 90.00
_cell_angle_beta 90.00
_cell_angle_gamma 90.00
loop_
_atom_site_label
_atom_site_type_symbol
_atom_site_fract_x
_atom_site_fract_y
_atom_site_fract_z
Ga1 Ga 0.500 0.500 0.000
Al1 Al 0.000 0.000 0.771
Al2 Al 0.000 0.000 0.229
Hg1 Hg 0.500 0.500 0.500
# Space-group type   P4/mmm (123)


## 2
# Al2GaHg (PBE, relaxed)
data_Al2GaHg
_chemical_formula_sum 'Al2 Ga1 Hg1'
_space_group_name_H-M_alt 'P 1'
_space_group_IT_number 1
_space_group_name_Hall 'P 1'
_cell_length_a 4.228
_cell_length_b 4.293
_cell_length_c 4.293
_cell_angle_alpha 90.00
_cell_angle_beta 90.00
_cell_angle_gamma 90.00
loop_
_atom_site_label
_atom_site_type_symbol
_atom_site_fract_x
_atom_site_fract_y
_atom_site_fract_z
Hg1 Hg 0.500 0.000 0.000
Al1 Al 0.000 0.000 0.500
Al2 Al 0.000 0.500 0.000
Ga1 Ga 0.500 0.500 0.500
# Space-group type   P4/mmm (123)


## 3
# Al2GaHg (PBE, relaxed)
data_Al2GaHg
_chemical_formula_sum 'Al2 Ga1 Hg1'
_space_group_name_H-M_alt 'P 1'
_space_group_IT_number 1
_space_group_name_Hall 'P 1'
_cell_length_a 4.807
_cell_length_b 4.807
_cell_length_c 4.807
_cell_angle_alpha 60.00
_cell_angle_beta 60.00
_cell_angle_gamma 60.00
loop_
_atom_site_label
_atom_site_type_symbol
_atom_site_fract_x
_atom_site_fract_y
_atom_site_fract_z
Al1 Al 0.750 0.750 0.750
Al2 Al 0.250 0.250 0.250
Ga1 Ga 0.000 0.000 0.000
Hg1 Hg 0.500 0.500 0.500
# Space-group type   Fm-3m (225)


Most stable to least stable, the ends of the list are 1 and 3.


## 1
# Ho6Al2Ga (PBE, relaxed)
data_Ho6Al2Ga
_chemical_formula_sum 'Ho12 Al4 Ga2'
_space_group_name_H-M_alt 'P 1'
_space_group_IT_number 1
_space_group_name_Hall 'P 1'
_cell_length_a 8.548
_cell_length_b 8.548
_cell_length_c 8.548
_cell_angle_alpha 70.75
_cell_angle_beta 68.77
_cell_angle_gamma 107.95
loop_
_atom_site_label
_atom_site_type_symbol
_atom_site_fract_x
_atom_site_fract_y
_atom_site_fract_z
Ho1 Ho 0.674 0.957 0.717
Ho2 Ho 0.825 0.261 0.914
Ho3 Ho 0.057 0.253 0.196
Ho4 Ho 0.825 0.739 0.437
Ho5 Ho 0.551 0.747 0.196
Ho6 Ho 0.326 0.043 0.283
Ho7 Ho 0.326 0.609 0.717
Ho8 Ho 0.674 0.391 0.283
Ho9 Ho 0.943 0.747 0.804
Ho10 Ho 0.449 0.253 0.804
Ho11 Ho 0.175 0.261 0.563
Ho12 Ho 0.175 0.739 0.086
Al1 Al 0.127 0.627 0.500
Al2 Al 0.639 0.000 0.361
Al3 Al 0.361 0.000 0.639
Al4 Al 0.873 0.373 0.500
Ga1 Ga 0.500 0.500 0.000
Ga2 Ga 0.000 0.000 0.000
# Space-group type   Immm (71)


## 2
# Ho6Al2Ga (PBE, relaxed)
data_Ho6Al2Ga
_chemical_formula_sum 'Ho6 Al2 Ga1'
_space_group_name_H-M_alt 'P 1'
_space_group_IT_number 1
_space_group_name_Hall 'P 1'
_cell_length_a 4.999
_cell_length_b 7.069
_cell_length_c 8.654
_cell_angle_alpha 114.11
_cell_angle_beta 106.81
_cell_angle_gamma 90.00
loop_
_atom_site_label
_atom_site_type_symbol
_atom_site_fract_x
_atom_site_fract_y
_atom_site_fract_z
Ho1 Ho 0.835 0.083 0.669
Ho2 Ho 0.500 0.247 0.000
Ho3 Ho 0.165 0.917 0.331
Ho4 Ho 0.500 0.753 0.000
Ho5 Ho 0.835 0.586 0.669
Ho6 Ho 0.165 0.414 0.331
Ga1 Ga 0.000 0.000 0.000
Al1 Al 0.666 0.666 0.332
Al2 Al 0.334 0.334 0.668
# Space-group type   Immm (71)


Most stable to least stable, the ends of the list are 1 and 2.


## 1
# HoAl2Ga3 (PBE, relaxed)
data_HoAl2Ga3
_chemical_formula_sum 'Ho2 Al4 Ga6'
_space_group_name_H-M_alt 'P 1'
_space_group_IT_number 1
_space_group_name_Hall 'P 1'
_cell_length_a 5.516
_cell_length_b 5.547
_cell_length_c 8.638
_cell_angle_alpha 109.07
_cell_angle_beta 83.19
_cell_angle_gamma 111.77
loop_
_atom_site_label
_atom_site_type_symbol
_atom_site_fract_x
_atom_site_fract_y
_atom_site_fract_z
Al1 Al 0.957 0.244 0.999
Al2 Al 0.043 0.756 0.001
Al3 Al 0.456 0.242 0.999
Al4 Al 0.544 0.758 0.001
Ga1 Ga 0.355 0.688 0.719
Ga2 Ga 0.749 0.762 0.524
Ga3 Ga 0.147 0.033 0.717
Ga4 Ga 0.853 0.967 0.283
Ga5 Ga 0.645 0.312 0.281
Ga6 Ga 0.251 0.238 0.476
Ho1 Ho 0.250 0.663 0.328
Ho2 Ho 0.750 0.337 0.672
# Space-group type   P-1 (2)


## 2
# HoAl2Ga3 (PBE, relaxed)
data_HoAl2Ga3
_chemical_formula_sum 'Ho1 Al2 Ga3'
_space_group_name_H-M_alt 'P 1'
_space_group_IT_number 1
_space_group_name_Hall 'P 1'
_cell_length_a 4.580
_cell_length_b 4.580
_cell_length_c 6.195
_cell_angle_alpha 90.00
_cell_angle_beta 90.00
_cell_angle_gamma 120.00
loop_
_atom_site_label
_atom_site_type_symbol
_atom_site_fract_x
_atom_site_fract_y
_atom_site_fract_z
Al1 Al 0.333 0.667 0.699
Al2 Al 0.667 0.333 0.301
Ga1 Ga 0.333 0.667 0.256
Ga2 Ga 0.667 0.333 0.744
Ga3 Ga 0.000 0.000 0.500
Ho1 Ho 0.000 0.000 0.000
# Space-group type   P-3m1 (164)


Most stable to least stable, the ends of the list are 2 and 1.


## 1
# HoAlGa3 (PBE, relaxed)
data_HoAlGa3
_chemical_formula_sum 'Ho2 Al2 Ga6'
_space_group_name_H-M_alt 'P 1'
_space_group_IT_number 1
_space_group_name_Hall 'P 1'
_cell_length_a 3.015
_cell_length_b 5.592
_cell_length_c 11.901
_cell_angle_alpha 90.00
_cell_angle_beta 90.00
_cell_angle_gamma 90.00
loop_
_atom_site_label
_atom_site_type_symbol
_atom_site_fract_x
_atom_site_fract_y
_atom_site_fract_z
Al1 Al 0.500 0.250 0.201
Al2 Al 0.500 0.750 0.799
Ga1 Ga 0.500 0.992 0.394
Ga2 Ga 0.500 0.000 0.000
Ga3 Ga 0.500 0.492 0.606
Ga4 Ga 0.500 0.500 0.000
Ga5 Ga 0.500 0.008 0.606
Ga6 Ga 0.500 0.508 0.394
Ho1 Ho 0.000 0.250 0.805
Ho2 Ho 0.000 0.750 0.195
# Space-group type   Pmma (51)


## 2
# HoAlGa3 (PBE, relaxed)
data_HoAlGa3
_chemical_formula_sum 'Ho2 Al2 Ga6'
_space_group_name_H-M_alt 'P 1'
_space_group_IT_number 1
_space_group_name_Hall 'P 1'
_cell_length_a 4.745
_cell_length_b 6.379
_cell_length_c 6.571
_cell_angle_alpha 90.00
_cell_angle_beta 90.00
_cell_angle_gamma 90.00
loop_
_atom_site_label
_atom_site_type_symbol
_atom_site_fract_x
_atom_site_fract_y
_atom_site_fract_z
Al1 Al 0.000 0.000 0.532
Al2 Al 0.500 0.500 0.468
Ho1 Ho 0.000 0.500 0.801
Ho2 Ho 0.500 0.000 0.199
Ga1 Ga 0.000 0.000 0.911
Ga2 Ga 0.500 0.805 0.731
Ga3 Ga 0.000 0.305 0.269
Ga4 Ga 0.500 0.500 0.089
Ga5 Ga 0.000 0.695 0.269
Ga6 Ga 0.500 0.195 0.731
# Space-group type   Pmmn (59)


Most stable to least stable, the ends of the list are 1 and 2.